Li2ZnCl2: relaxed, PBE.

E_form (uncorrected) in eV per formula unit: -5.76

Cell lengths 7.6408, 7.6408, 7.6408 Å; angles 142.78, 142.78, 53.65 degrees
Closest atoms and distances in Å follow each position.
Atoms (fractional coordinates):
Zn 0.0000 0.0000 0.0000  2 Li 3.38
Cl 0.2500 0.7500 0.5000  4 Li 2.44
Cl 0.7500 0.2500 0.5000  4 Li 2.44
Li 0.7525 0.7525 0.0000  4 Cl 2.44
Li 0.2475 0.2475 0.0000  4 Cl 2.44

LiZnCl3: relaxed, PBE.

E_form (uncorrected) in eV per formula unit: -7.01

Cell lengths 3.6710, 6.8121, 10.7914 Å; angles 93.38, 90.00, 105.63 degrees
Closest atoms and distances in Å follow each position.
Atoms (fractional coordinates):
Zn 0.9198 0.8395 0.7271  4 Cl 2.28-2.33
Zn 0.0802 0.1605 0.2729  4 Cl 2.28-2.33
Cl 0.1602 0.3203 0.0858  1 Zn 2.33, 1 Li 2.46
Cl 0.6332 0.2663 0.3870  2 Zn 2.29
Cl 0.9085 0.8170 0.2284  1 Zn 2.28, 2 Li 2.46
Cl 0.0915 0.1830 0.7716  1 Zn 2.28, 2 Li 2.46
Cl 0.3668 0.7337 0.6130  2 Zn 2.29
Cl 0.8398 0.6797 0.9142  1 Zn 2.33, 1 Li 2.46
Li 0.3482 0.6964 0.0911  5 Cl 2.46-2.65
Li 0.6518 0.3036 0.9089  5 Cl 2.46-2.65

LiZn3Cl: relaxed, PBE.

E_form (uncorrected) in eV per formula unit: 2.23

Cell lengths 5.3824, 5.3824, 5.3824 Å; angles 90.00, 90.00, 90.00 degrees
Closest atoms and distances in Å follow each position.
Atoms (fractional coordinates):
Li 0.5000 0.5000 0.5000  12 Zn 3.81
Zn 0.0000 0.5000 0.0000  2 Cl 2.69
Zn 0.0000 0.0000 0.5000  2 Cl 2.69
Zn 0.5000 0.0000 0.0000  2 Cl 2.69
Cl 0.0000 0.0000 0.0000  6 Zn 2.69